# 1
Below is a relaxed structure of Si2Ge2Pt3, with properties calculated at the PBE level.

Results
* E_form (uncorrected): -0.477 eV/atom
* DOS at the Fermi energy: 2.08 states/eV per cell

Cell lengths 6.473, 6.473, 5.154 Å; angles 102.03, 102.03, 34.41 degrees
Fractional positions:
Si: 0.187 0.187 0.309
Si: 0.813 0.813 0.691
Ge: 0.447 0.447 0.270
Ge: 0.553 0.553 0.730
Pt: 0.000 0.000 0.000
Pt: 0.199 0.199 0.786
Pt: 0.801 0.801 0.214

# 2
Below is a relaxed structure of Si2GePt, with properties calculated at the PBE level.

Results
* E_form (uncorrected): 0.043 eV/atom
* DOS at the Fermi energy: 1.65 states/eV per cell

Cell lengths 6.817, 6.817, 6.817 Å; angles 33.91, 33.91, 33.91 degrees
Fractional positions:
Si: 0.126 0.126 0.126
Si: 0.874 0.874 0.874
Ge: 0.000 0.000 0.000
Pt: 0.500 0.500 0.500

# 3
Below is a relaxed structure of SiGe2Pt2, with properties calculated at the PBE level.

Results
* E_form (uncorrected): -0.032 eV/atom
* DOS at the Fermi energy: 4.79 states/eV per cell

Cell lengths 7.520, 7.520, 2.986 Å; angles 90.00, 90.00, 90.00 degrees
Fractional positions:
Si: 0.000 0.000 0.000
Si: 0.500 0.500 0.000
Ge: 0.153 0.347 0.500
Ge: 0.347 0.847 0.500
Ge: 0.653 0.153 0.500
Ge: 0.847 0.653 0.500
Pt: 0.145 0.645 0.000
Pt: 0.355 0.145 0.000
Pt: 0.645 0.855 0.000
Pt: 0.855 0.355 0.000

# 4
Below is a relaxed structure of Si2GePt2, with properties calculated at the PBE level.

Results
* E_form (uncorrected): -0.459 eV/atom
* DOS at the Fermi energy: 2.47 states/eV per cell
* energy relative to the lowest polymorph listed for this composition: 0.00 eV/f.u.

Cell lengths 6.147, 3.549, 7.976 Å; angles 90.00, 92.81, 90.00 degrees
Fractional positions:
Si: 0.079 0.250 0.275
Si: 0.314 0.250 0.045
Si: 0.686 0.750 0.955
Si: 0.921 0.750 0.725
Ge: 0.442 0.250 0.639
Ge: 0.558 0.750 0.361
Pt: 0.184 0.750 0.475
Pt: 0.300 0.750 0.842
Pt: 0.700 0.250 0.158
Pt: 0.816 0.250 0.525

Q: Number 1 is which compound?
A: Si2Ge2Pt3